CoPBr2 | PBE-GGA | optimized geometry

abc: 3.157 3.387 8.405
angles: 90.00 90.00 90.00
Space group Pmm2 (No. 25)
Inequivalent atoms, fractional coordinates:
Co (0.000, 0.000, 0.000) (multiplicity 1)
P (0.500, 0.500, 0.939) (multiplicity 1)
Br (0.000, 0.000, 0.279) (multiplicity 1)
Br (0.500, 0.500, 0.675) (multiplicity 1)

- theoretical density (g cm⁻³) = 4.6
- calculated total energy (eV for the cell shown) = -15.9
- ΔE_f (raw) (eV per atom) = -0.010
- offset from the most stable computed form (kJ/mol of formula units) = 124.3
- magnetization (μB per cell) = 1.61